1.
The following is a PBE-GGA calculation of RbScNiSe3 after structural relaxation, from OQMD.

Cell: 8.3457 8.3457 8.8539 Å, 99.66 99.66 28.21°
Atoms (fractional coordinates):
Rb  0.1545  0.1545  0.0641
Rb  0.8455  0.8455  0.9359
Sc  0.1655  0.1655  0.5723
Sc  0.8345  0.8345  0.4277
Ni  0.4944  0.4944  0.6957
Ni  0.5056  0.5056  0.3043
Se  0.0000  0.0000  0.5000
Se  0.3371  0.3371  0.6379
Se  0.3578  0.3578  0.2385
Se  0.5000  0.5000  0.0000
Se  0.6422  0.6422  0.7615
Se  0.6629  0.6629  0.3621

Summary:
**V**: 143.6 Å³/f.u.
**Total magnetization**: 0.08 Bohr magnetons per cell
**Uncorrected energy**: -4.8314 eV/atom
**Space group**: C2/m (12)



2.
The following is a PBE-GGA calculation of LuNbCuSi after structural relaxation, from OQMD.

Cell: 6.5974 6.5974 6.5974 Å, 90.00 90.00 90.00°
Atoms (fractional coordinates):
Lu  0.0000  0.0000  0.0000
Lu  0.0000  0.5000  0.5000
Lu  0.5000  0.0000  0.5000
Lu  0.5000  0.5000  0.0000
Nb  0.2500  0.2500  0.7500
Nb  0.2500  0.7500  0.2500
Nb  0.7500  0.2500  0.2500
Nb  0.7500  0.7500  0.7500
Cu  0.0000  0.0000  0.5000
Cu  0.0000  0.5000  0.0000
Cu  0.5000  0.0000  0.0000
Cu  0.5000  0.5000  0.5000
Si  0.2500  0.2500  0.2500
Si  0.2500  0.7500  0.7500
Si  0.7500  0.2500  0.7500
Si  0.7500  0.7500  0.2500

Summary:
**V**: 71.8 Å³/f.u.
**E above lowest polymorph**: 261 meV per atom
**Total magnetization**: 10.10 Bohr magnetons per cell
**Uncorrected energy**: -5.4809 eV/atom
**Space group**: F-43m (216)



3.
The following is a PBE-GGA calculation of ZnGaB2 after structural relaxation, from OQMD.

Cell: 5.7780 5.7780 5.7780 Å, 90.00 90.00 90.00°
Atoms (fractional coordinates):
Zn  0.0000  0.0000  0.0000
Zn  0.0000  0.5000  0.5000
Zn  0.5000  0.0000  0.5000
Zn  0.5000  0.5000  0.0000
Ga  0.2500  0.2500  0.7500
Ga  0.2500  0.7500  0.2500
Ga  0.7500  0.2500  0.2500
Ga  0.7500  0.7500  0.7500
B  0.0000  0.0000  0.5000
B  0.0000  0.5000  0.0000
B  0.2500  0.2500  0.2500
B  0.2500  0.7500  0.7500
B  0.5000  0.0000  0.0000
B  0.5000  0.5000  0.5000
B  0.7500  0.2500  0.7500
B  0.7500  0.7500  0.2500

Summary:
**V**: 48.2 Å³/f.u.
**Uncorrected energy**: -2.9961 eV/atom
**Space group**: F-43m (216)



4.
The following is a PBE-GGA calculation of Pu2UP3 after structural relaxation, from OQMD.

Cell: 3.9707 5.6188 11.9540 Å, 90.00 90.00 90.00°
Atoms (fractional coordinates):
Pu  0.0000  0.0000  0.1677
Pu  0.0000  0.0000  0.8323
Pu  0.5000  0.5000  0.3323
Pu  0.5000  0.5000  0.6677
U  0.0000  0.0000  0.5000
U  0.5000  0.5000  0.0000
P  0.0000  0.5000  0.1635
P  0.0000  0.5000  0.5000
P  0.0000  0.5000  0.8365
P  0.5000  0.0000  0.0000
P  0.5000  0.0000  0.3365
P  0.5000  0.0000  0.6635

Summary:
**V**: 133.3 Å³/f.u.
**Total magnetization**: 24.72 Bohr magnetons per cell
**Uncorrected energy**: -10.4572 eV/atom
**Space group**: Immm (71)



5.
The following is a PBE-GGA calculation of NaZnBiPd after structural relaxation, from OQMD.

Cell: 6.9074 6.9074 6.9074 Å, 90.00 90.00 90.00°
Atoms (fractional coordinates):
Na  0.0000  0.0000  0.0000
Na  0.0000  0.5000  0.5000
Na  0.5000  0.0000  0.5000
Na  0.5000  0.5000  0.0000
Zn  0.2500  0.2500  0.7500
Zn  0.2500  0.7500  0.2500
Zn  0.7500  0.2500  0.2500
Zn  0.7500  0.7500  0.7500
Bi  0.0000  0.0000  0.5000
Bi  0.0000  0.5000  0.0000
Bi  0.5000  0.0000  0.0000
Bi  0.5000  0.5000  0.5000
Pd  0.2500  0.2500  0.2500
Pd  0.2500  0.7500  0.7500
Pd  0.7500  0.2500  0.7500
Pd  0.7500  0.7500  0.2500

Summary:
**V**: 82.4 Å³/f.u.
**E above lowest polymorph**: 33 meV per atom
**Uncorrected energy**: -3.0726 eV/atom
**Space group**: F-43m (216)



6.
The following is a PBE-GGA calculation of ErTcB4 after structural relaxation, from OQMD.

Cell: 3.1436 5.3503 7.0374 Å, 90.00 90.00 90.00°
Atoms (fractional coordinates):
Er  0.0000  0.0000  0.0000
Er  0.5000  0.5000  0.5000
Tc  0.0000  0.0000  0.5000
Tc  0.5000  0.5000  0.0000
B  0.0000  0.3359  0.2499
B  0.0000  0.3359  0.7501
B  0.0000  0.6641  0.2499
B  0.0000  0.6641  0.7501
B  0.5000  0.1641  0.2501
B  0.5000  0.1641  0.7499
B  0.5000  0.8359  0.2501
B  0.5000  0.8359  0.7499

Summary:
**V**: 59.2 Å³/f.u.
**E above lowest polymorph**: 0 meV per atom
**Total magnetization**: 0.00 Bohr magnetons per cell
**Uncorrected energy**: -7.3576 eV/atom
**Space group**: Immm (71)



7.
The following is a PBE-GGA calculation of SmDyTm2In2 after structural relaxation, from OQMD.

Cell: 5.3692 5.3692 6.7342 Å, 90.00 90.00 120.00°
Atoms (fractional coordinates):
Sm  0.0000  0.0000  0.0000
Dy  0.0000  0.0000  0.5000
Tm  0.3333  0.6667  0.2529
Tm  0.6667  0.3333  0.7471
In  0.3333  0.6667  0.7477
In  0.6667  0.3333  0.2523

Summary:
**V**: 168.1 Å³/f.u.
**Total magnetization**: 0.09 Bohr magnetons per cell
**Uncorrected energy**: -4.3038 eV/atom
**Space group**: P-3m1 (164)



8.
The following is a PBE-GGA calculation of AgPdPb2 after structural relaxation, from OQMD.

Cell: 7.1333 7.1333 7.1333 Å, 90.00 90.00 90.00°
Atoms (fractional coordinates):
Ag  0.0000  0.0000  0.0000
Ag  0.0000  0.5000  0.5000
Ag  0.5000  0.0000  0.5000
Ag  0.5000  0.5000  0.0000
Pd  0.2500  0.2500  0.7500
Pd  0.2500  0.7500  0.2500
Pd  0.7500  0.2500  0.2500
Pd  0.7500  0.7500  0.7500
Pb  0.0000  0.0000  0.5000
Pb  0.0000  0.5000  0.0000
Pb  0.2500  0.2500  0.2500
Pb  0.2500  0.7500  0.7500
Pb  0.5000  0.0000  0.0000
Pb  0.5000  0.5000  0.5000
Pb  0.7500  0.2500  0.7500
Pb  0.7500  0.7500  0.2500

Summary:
**V**: 90.7 Å³/f.u.
**Uncorrected energy**: -3.7023 eV/atom
**Space group**: F-43m (216)